Compound: Nd2Er12Sc5
Source: Alexandria
Functional: PBE-GGA
Structure: optimized geometry

a b c (Å): 21.204 6.816 8.366
angles (deg): 90.00 107.96 90.00
Space group C2/m (No. 12)
One atom of each set of equivalent atoms:
1 Nd 0.000 0.249 0.000 x4
2 Er 0.049 0.000 0.691 x4
3 Er 0.109 0.245 0.391 x8
4 Er 0.151 0.500 0.084 x4
5 Er 0.202 0.247 0.795 x8
6 Sc 0.000 0.500 0.500 x2
7 Sc 0.153 0.000 0.098 x4
8 Sc 0.249 0.000 0.503 x4

Values from the calculation:
The value obtained for the energy relative to the elements is 160 meV per atom.


Compound: NdMnH5
Source: Alexandria
Functional: PBE-GGA
Structure: optimized geometry

a b c (Å): 3.745 4.907 6.715
angles (deg): 90.00 90.00 90.00
Space group Immm (No. 71)
One atom of each set of equivalent atoms:
1 Nd 0.000 0.000 0.000 x2
2 Mn 0.000 0.000 0.500 x2
3 H 0.000 0.250 0.336 x8
4 H 0.000 0.500 0.000 x2


Compound: CsInHI2
Source: Alexandria
Functional: PBE-GGA
Structure: optimized geometry

a b c (Å): 6.507 6.507 4.198
angles (deg): 90.00 90.00 90.00
Space group P4/mmm (No. 123)
One atom of each set of equivalent atoms:
1 Cs 0.000 0.000 0.000 x1
2 In 0.500 0.500 0.500 x1
3 H 0.500 0.500 0.000 x1
4 I 0.000 0.500 0.500 x2


Compound: PmAlPbS4
Source: Alexandria
Functional: PBE-GGA
Structure: optimized geometry

a b c (Å): 6.630 6.660 8.054
angles (deg): 90.00 107.07 90.00
Space group P2_1/m (No. 11)
One atom of each set of equivalent atoms:
1 Pm 0.224 0.250 0.057 x2
2 Al 0.237 0.750 0.811 x2
3 Pb 0.258 0.250 0.571 x2
4 S 0.005 0.005 0.764 x4
5 S 0.435 0.750 0.090 x2
6 S 0.437 0.750 0.633 x2

Values from the calculation:
The value obtained for the energy relative to the elements, uncorrected is -1.2352 eV/atom.


Compound: SmMgGa2Ni2
Source: Alexandria
Functional: PBE-GGA
Structure: optimized geometry

a b c (Å): 4.2209 4.2209 6.7809
angles (deg): 90.00 90.00 120.00
Space group P-3m1 (No. 164)
One atom of each set of equivalent atoms:
1 Sm 0.0000 0.0000 0.0000 x1
2 Mg 0.0000 0.0000 0.5000 x1
3 Ga 0.3333 0.6667 0.2842 x2
4 Ni 0.3333 0.6667 0.6607 x2

Values from the calculation:
The value obtained for the energy relative to the elements is -481 meV per atom.


Compound: NiAgSb4
Source: Alexandria
Functional: PBE-GGA
Structure: optimized geometry

a b c (Å): 6.615 6.544 6.516
angles (deg): 90.00 90.79 90.00
Space group P2_1/c (No. 14)
One atom of each set of equivalent atoms:
1 Ni 0.000 0.000 0.000 x2
2 Ag 0.500 0.000 0.500 x2
3 Sb 0.111 0.138 0.640 x4
4 Sb 0.351 0.619 0.612 x4

Values from the calculation:
The value obtained for the energy relative to the elements, uncorrected is -0.0225 eV/atom.


Compound: MgAlAu2
Source: Alexandria
Functional: PBE-GGA
Structure: optimized geometry

a b c (Å): 3.675 4.268 8.864
angles (deg): 90.00 90.00 90.00
Space group Imm2 (No. 44)
One atom of each set of equivalent atoms:
1 Mg 0.000 0.000 0.000 x2
2 Al 0.000 0.500 0.764 x2
3 Au 0.000 0.000 0.490 x2
4 Au 0.000 0.500 0.243 x2

Values from the calculation:
The value obtained for the energy relative to the elements is -399 meV per atom.


Compound: Hf4AlOs5
Source: Alexandria
Functional: PBE-GGA
Structure: optimized geometry

a b c (Å): 3.225 3.225 15.922
angles (deg): 90.00 90.00 90.00
Space group P4/mmm (No. 123)
One atom of each set of equivalent atoms:
1 Hf 0.000 0.000 0.104 x2
2 Hf 0.000 0.000 0.311 x2
3 Al 0.000 0.000 0.500 x1
4 Os 0.500 0.500 0.000 x1
5 Os 0.500 0.500 0.204 x2
6 Os 0.500 0.500 0.408 x2

Values from the calculation:
The value obtained for the energy relative to the elements is -648 meV per atom.


Compound: Dy5Y2Tm
Source: Alexandria
Functional: PBE-GGA
Structure: optimized geometry

a b c (Å): 6.268 6.697 12.227
angles (deg): 95.27 90.01 90.06
Space group P-1 (No. 2)
One atom of each set of equivalent atoms:
1 Dy 0.165 0.312 0.437 x2
2 Dy 0.166 0.064 0.687 x2
3 Dy 0.332 0.063 0.189 x2
4 Dy 0.334 0.563 0.687 x2
5 Dy 0.334 0.812 0.437 x2
6 Y 0.166 0.811 0.937 x2
7 Y 0.333 0.313 0.937 x2
8 Tm 0.167 0.563 0.189 x2

Values from the calculation:
The value obtained for the energy relative to the elements is 5 meV per atom.


Compound: SbPd2N
Source: Alexandria
Functional: PBE-GGA
Structure: optimized geometry

a b c (Å): 4.959 4.959 11.975
angles (deg): 90.00 90.00 90.00
Space group I-42d (No. 122)
One atom of each set of equivalent atoms:
1 Sb 0.000 0.000 0.000 x4
2 Pd 0.120 0.250 0.625 x8
3 N 0.000 0.000 0.500 x4

Values from the calculation:
The value obtained for the energy relative to the elements, uncorrected is 0.3146 eV/atom.


Compound: TlBr3O
Source: Alexandria
Functional: PBE-GGA
Structure: optimized geometry

a b c (Å): 5.604 5.604 5.604
angles (deg): 90.00 90.00 90.00
Space group Pm-3m (No. 221)
One atom of each set of equivalent atoms:
1 Tl 0.000 0.000 0.000 x1
2 Br 0.000 0.000 0.500 x3
3 O 0.500 0.500 0.500 x1

Values from the calculation:
The value obtained for the energy relative to the elements, uncorrected is 0.4142 eV/atom.


Compound: GeSNO2
Source: Alexandria
Functional: PBE-GGA
Structure: optimized geometry

a b c (Å): 3.650 3.650 4.032
angles (deg): 90.00 90.00 90.00
Space group P4/mmm (No. 123)
One atom of each set of equivalent atoms:
1 Ge 0.000 0.000 0.000 x1
2 S 0.500 0.500 0.500 x1
3 N 0.000 0.000 0.500 x1
4 O 0.000 0.500 0.000 x2

Values from the calculation:
The value obtained for the energy relative to the elements, uncorrected is 0.4834 eV/atom.


Electronic total energy per entry: -185.81 -64.95 -13.30 -74.72 -26.82 -50.51 -26.97 -106.18 -80.74 -86.30 -10.27 -24.57 eV for the cell shown